Record 1
# PBE Rb2TaAs2, relaxed
# Total DFT energy (no corrections) = -24.227 eV per formula unit
# Crystal system = orthorhombic
data_Rb2TaAs2
_chemical_formula_sum 'Rb8 Ta4 As8'
_cell_length_a 7.501
_cell_length_b 15.745
_cell_length_c 5.584
_cell_angle_alpha 90.00
_cell_angle_beta 90.00
_cell_angle_gamma 90.00
_space_group_name_H-M_alt 'C m c m'
_space_group_IT_number 63
_space_group_name_Hall '-C 2c 2'
loop_
_atom_site_label
_atom_site_fract_x
_atom_site_fract_y
_atom_site_fract_z
Rb1 0.000 0.089 0.250
Rb2 0.000 0.277 0.750
Ta1 0.000 0.500 0.000
As1 0.221 0.405 0.250

***

Record 2
# PBE Y3Mg3Tl2Cd, relaxed
# Total DFT energy (no corrections) = -32.807 eV per formula unit
# Crystal system = hexagonal
data_Y3Mg3Tl2Cd
_chemical_formula_sum 'Y3 Mg3 Tl2 Cd1'
_cell_length_a 7.5817
_cell_length_b 7.5817
_cell_length_c 4.5832
_cell_angle_alpha 90.00
_cell_angle_beta 90.00
_cell_angle_gamma 120.00
_space_group_name_H-M_alt 'P -6 2 m'
_space_group_IT_number 189
_space_group_name_Hall 'P -6 -2'
loop_
_atom_site_label
_atom_site_fract_x
_atom_site_fract_y
_atom_site_fract_z
Y1 0.0000 0.5745 0.0000
Mg1 0.0000 0.2399 0.5000
Tl1 0.3333 0.6667 0.5000
Cd1 0.0000 0.0000 0.0000